1.
This record from Alexandria describes an optimized crystal structure of CaLa15Sm4. The functional is PBE.

Properties
Total moment, μB/f.u.: 0.0
Energy of formation from the pure elements, meV/atom: 19
Volume, Å³/cell: 729.02

abc: 5.2639 5.2639 26.3100
angles: 90.00 90.00 90.00
Fractional coordinates of all 20 atoms:
Sm (0.0000, 0.0000, 0.2007)
Sm (0.0000, 0.0000, 0.5993)
Sm (0.0000, 0.0000, 0.4007)
Sm (0.0000, 0.0000, 0.7993)
La (0.5000, 0.0000, 0.5000)
La (0.0000, 0.5000, 0.5000)
La (0.5000, 0.5000, 0.5999)
La (0.5000, 0.5000, 0.4001)
La (0.0000, 0.5000, 0.3007)
La (0.5000, 0.5000, 0.7988)
La (0.0000, 0.5000, 0.6993)
La (0.5000, 0.0000, 0.1035)
La (0.0000, 0.5000, 0.1035)
La (0.5000, 0.0000, 0.8965)
La (0.5000, 0.0000, 0.6993)
La (0.0000, 0.5000, 0.8965)
La (0.5000, 0.5000, 0.2012)
La (0.5000, 0.0000, 0.3007)
La (0.5000, 0.5000, 0.0000)
Ca (0.0000, 0.0000, 0.0000)

---

2.
This record from Alexandria describes an optimized crystal structure of SnPd. The functional is PBE.

Properties
Total moment, μB/f.u.: 0.0
Energy of formation from the pure elements, meV/atom: -402
Volume, Å³/cell: 77.84

abc: 3.2482 5.1727 4.6326
angles: 90.00 90.01 90.00
Fractional coordinates of all 4 atoms:
Pd (0.7508, 0.2500, 0.8672)
Pd (0.2492, 0.7500, 0.1328)
Sn (0.7494, 0.7500, 0.6338)
Sn (0.2506, 0.2500, 0.3662)

---

3.
This record from Alexandria describes an optimized crystal structure of Th2RuC. The functional is PBE.

Properties
Total moment, μB/f.u.: 0.0
Energy of formation from the pure elements, meV/atom: -200
Polymorph energy (0 for the lowest one), meV/atom: 195
Volume, Å³/cell: 85.18

abc: 3.7942 3.7942 7.1747
angles: 74.67 74.67 60.00
Fractional coordinates of all 4 atoms:
Ru (0.0000, 0.0000, 0.0000)
Th (0.7591, 0.7591, 0.7226)
Th (0.2409, 0.2409, 0.2774)
C (0.5000, 0.5000, 0.5000)

---

4.
This record from Alexandria describes an optimized crystal structure of MnTeP2. The functional is PBE.

Properties
Calculated total energy, eV per atom: -5.7257
Total moment, μB/f.u.: 0.0
Volume, Å³/cell: 72.86

abc: 2.8730 2.8730 8.8276
angles: 90.00 90.00 90.00
Fractional coordinates of all 4 atoms:
P (0.0000, 0.0000, 0.6026)
P (0.0000, 0.0000, 0.8974)
Mn (0.5000, 0.5000, 0.7500)
Te (0.5000, 0.5000, 0.2500)

---

5.
This record from Alexandria describes an optimized crystal structure of Th4PdRh12. The functional is PBE.

Properties
Total moment, μB/f.u.: 0.0
Energy of formation from the pure elements, meV/atom: -602
Volume, Å³/cell: 307.08

abc: 7.3614 7.3614 7.3614
angles: 109.47 109.47 109.47
Fractional coordinates of all 17 atoms:
Th (0.0000, 0.0000, 0.5000)
Th (0.5000, 0.5000, 0.5000)
Th (0.5000, 0.0000, 0.0000)
Th (0.0000, 0.5000, 0.0000)
Rh (0.3026, 0.0000, 0.3026)
Rh (0.0000, 0.3026, 0.3026)
Rh (0.0000, 0.6974, 0.6974)
Rh (0.3026, 0.3026, 0.0000)
Rh (0.5000, 0.2500, 0.7500)
Rh (0.6974, 0.6974, 0.0000)
Rh (0.7500, 0.5000, 0.2500)
Rh (0.7500, 0.2500, 0.5000)
Rh (0.2500, 0.5000, 0.7500)
Rh (0.6974, 0.0000, 0.6974)
Rh (0.5000, 0.7500, 0.2500)
Rh (0.2500, 0.7500, 0.5000)
Pd (0.0000, 0.0000, 0.0000)

---

6.
This record from Alexandria describes an optimized crystal structure of TaI3. The functional is PBE.

Properties
Calculated total energy, eV per atom: -3.2183
Total moment, μB/f.u.: 2.0
Volume, Å³/cell: 113.21

abc: 5.4300 5.4300 5.4300
angles: 60.00 60.00 60.00
Fractional coordinates of all 4 atoms:
Ta (0.5000, 0.5000, 0.5000)
I (0.7500, 0.7500, 0.7500)
I (0.2500, 0.2500, 0.2500)
I (0.0000, 0.0000, 0.0000)

---

7.
This record from Alexandria describes an optimized crystal structure of LiNi2Bi. The functional is PBE.

Properties
Total moment, μB/f.u.: 0.0
Energy of formation from the pure elements, meV/atom: 279
Volume, Å³/cell: 129.98

abc: 3.8530 3.8530 9.1693
angles: 77.87 77.87 90.00
Fractional coordinates of all 8 atoms:
Ni (0.5852, 0.1250, 0.2500)
Ni (0.1648, 0.6250, 0.2500)
Ni (0.8750, 0.8352, 0.7500)
Ni (0.3750, 0.4148, 0.7500)
Li (0.2500, 0.7500, 0.5000)
Li (0.5000, 0.5000, 0.0000)
Bi (0.7500, 0.2500, 0.5000)
Bi (0.0000, 0.0000, 0.0000)

---

8.
This record from Alexandria describes an optimized crystal structure of ScFeRe2Mo. The functional is PBE.

Properties
Total moment, μB/f.u.: 1.5
Energy of formation from the pure elements, meV/atom: 1121
Volume, Å³/cell: 87.98

abc: 4.4586 4.4258 4.4586
angles: 90.00 90.00 90.00
Fractional coordinates of all 5 atoms:
Re (0.5000, 0.0000, 0.0000)
Re (0.0000, 0.0000, 0.5000)
Mo (0.5000, 0.5000, 0.5000)
Sc (0.0000, 0.5000, 0.0000)
Fe (0.0000, 0.0000, 0.0000)

---

9.
This record from Alexandria describes an optimized crystal structure of Dy12Tl6Ru. The functional is PBE.

Properties
Total moment, μB/f.u.: 0.0
Energy of formation from the pure elements, meV/atom: -156
Volume, Å³/cell: 574.11

abc: 8.3323 8.3323 8.3323
angles: 93.97 93.97 93.97
Fractional coordinates of all 19 atoms:
Dy (0.5752, 0.4547, 0.7948)
Dy (0.4547, 0.7948, 0.5752)
Dy (0.3113, 0.9700, 0.0879)
Dy (0.4248, 0.5453, 0.2052)
Dy (0.0300, 0.9121, 0.6887)
Dy (0.9700, 0.0879, 0.3113)
Dy (0.9121, 0.6887, 0.0300)
Dy (0.0879, 0.3113, 0.9700)
Dy (0.7948, 0.5752, 0.4547)
Dy (0.5453, 0.2052, 0.4248)
Dy (0.2052, 0.4248, 0.5453)
Dy (0.6887, 0.0300, 0.9121)
Tl (0.1348, 0.7291, 0.3518)
Tl (0.6482, 0.8652, 0.2709)
Tl (0.3518, 0.1348, 0.7291)
Tl (0.7291, 0.3518, 0.1348)
Tl (0.2709, 0.6482, 0.8652)
Tl (0.8652, 0.2709, 0.6482)
Ru (0.0000, 0.0000, 0.0000)

---

10.
This record from Alexandria describes an optimized crystal structure of LaNdTmGa. The functional is PBE.

Properties
Total moment, μB/f.u.: 0.0
Energy of formation from the pure elements, meV/atom: -124
Volume, Å³/cell: 114.88

abc: 5.4565 5.4565 5.4565
angles: 60.00 60.00 60.00
Fractional coordinates of all 4 atoms:
Nd (0.5000, 0.5000, 0.5000)
La (0.0000, 0.0000, 0.0000)
Tm (0.7500, 0.7500, 0.7500)
Ga (0.2500, 0.2500, 0.2500)

---

11.
This record from Alexandria describes an optimized crystal structure of Tb7Dy2Y2. The functional is PBE.

Properties
Total moment, μB/f.u.: 0.0
Energy of formation from the pure elements, meV/atom: 156
Polymorph energy (0 for the lowest one), meV/atom: 22
Volume, Å³/cell: 358.29

abc: 6.0454 8.0304 8.0304
angles: 90.49 73.89 73.89
Fractional coordinates of all 11 atoms:
Tb (0.1750, 0.5898, 0.0576)
Tb (0.8250, 0.9424, 0.4102)
Tb (0.0000, 0.0000, 0.0000)
Tb (0.4129, 0.2335, 0.2335)
Tb (0.1750, 0.0576, 0.5898)
Tb (0.8250, 0.4102, 0.9424)
Tb (0.5871, 0.7665, 0.7665)
Y (0.5000, 0.7842, 0.2158)
Y (0.5000, 0.2158, 0.7842)
Dy (0.8028, 0.4143, 0.4143)
Dy (0.1972, 0.5857, 0.5857)

---

12.
This record from Alexandria describes an optimized crystal structure of Nd2SmDy2Tm. The functional is PBE.

Properties
Total moment, μB/f.u.: 0.0
Energy of formation from the pure elements, meV/atom: 64
Volume, Å³/cell: 392.37

abc: 5.6501 9.8272 7.0667
angles: 90.00 90.00 90.00
Fractional coordinates of all 12 atoms:
Dy (0.0000, 0.6667, 0.7493)
Dy (0.0000, 0.3333, 0.2507)
Dy (0.5000, 0.1667, 0.7507)
Dy (0.5000, 0.8333, 0.2493)
Sm (0.0000, 0.0000, 0.5000)
Sm (0.5000, 0.5000, 0.0000)
Nd (0.0000, 0.3332, 0.7476)
Nd (0.5000, 0.1668, 0.2476)
Nd (0.5000, 0.8332, 0.7524)
Nd (0.0000, 0.6668, 0.2524)
Tm (0.0000, 0.0000, 0.0000)
Tm (0.5000, 0.5000, 0.5000)

---

Which value of total moment does entry 12 give? 0.0 μB/f.u.

---

Among the records above, which one has the highest volume? CaLa15Sm4

---

Number 2 is which compound? SnPd